Entry from Alexandria via LeMat-Bulk: PrDy5Tm4 after structural relaxation (GGA-PBE).

```
PrDy5Tm4
1.0
3.547 0.000 0.000
-1.543 6.435 0.000
-0.911 -2.489 13.871
Pr Dy Tm
1 5 4
Cartesian
0.000 0.000 0.000
-1.168 4.218 8.107
0.543 1.217 8.535
1.002 3.218 0.000
0.550 2.729 5.336
2.261 -0.272 5.764
-1.061 4.652 3.001
-1.110 2.716 11.143
2.203 1.230 2.728
2.153 -0.706 10.870
```

Energy relative to the lowest polymorph listed for this composition (eV/atom): 0.0000
Theoretical density (g/cm³): 8.54
Calculated formation energy (eV/atom): 0.07
Density of states at the Fermi level (states/eV/f.u.): 16.05

Entry from Alexandria via LeMat-Bulk: PrDy6Tm2 after structural relaxation (GGA-PBE).

```
PrDy6Tm2
1.0
9.216 -1.777 0.000
9.216 1.777 0.000
-0.022 0.000 8.680
Pr Dy Tm
1 6 2
Cartesian
0.000 0.000 0.000
2.035 0.000 5.769
4.080 0.000 2.907
6.121 0.000 0.005
12.290 0.000 8.675
14.330 0.000 5.773
16.375 0.000 2.912
8.175 0.000 5.761
10.235 0.000 2.919
```

Energy relative to the lowest polymorph listed for this composition (eV/atom): 0.0000
Theoretical density (g/cm³): 8.49
Calculated formation energy (eV/atom): 0.02
Density of states at the Fermi level (states/eV/f.u.): 12.70

- Which of these has the highest density of states at the Fermi level?
  PrDy5Tm4

- Among the records above, which one has the lowest theoretical density?
  PrDy6Tm2